No. 1
# NdY2Er5Th

Crystalline NdY2Er5Th at its relaxed geometry (PBE, Alexandria).

Values from the calculation:
* DFT total energy: -180.12 eV per cell
* volume: 31.9 Å³/atom
* total magnetic moment: 0.00 μB/cell

```
data_NdY2Er5Th
_chemical_formula_sum 'Nd4 Y8 Er20 Th4'
_cell_length_a 8.737
_cell_length_b 8.737
_cell_length_c 15.063
_cell_angle_alpha 90.00
_cell_angle_beta 90.00
_cell_angle_gamma 90.00
_space_group_name_H-M_alt 'I 4/m c m'
_space_group_IT_number 140
_space_group_name_Hall '-I 4 2c'
loop_
_atom_site_label
_atom_site_type_symbol
_atom_site_fract_x
_atom_site_fract_y
_atom_site_fract_z
Nd1 Nd 0.000 0.500 0.250
Y1 Y 0.115 0.385 0.000
Er1 Er 0.000 0.000 0.000
Er2 Er 0.209 0.291 0.362
Th1 Th 0.000 0.000 0.250
```

***

No. 2
# NdYErTh2

Crystalline NdYErTh2 at its relaxed geometry (PBE, Alexandria).

Values from the calculation:
* DFT total energy: -114.47 eV per cell
* volume: 35.0 Å³/atom
* total magnetic moment: 0.00 μB/cell

```
data_NdYErTh2
_chemical_formula_sum 'Nd4 Y4 Er4 Th8'
_cell_length_a 6.681
_cell_length_b 15.661
_cell_length_c 6.684
_cell_angle_alpha 90.00
_cell_angle_beta 90.00
_cell_angle_gamma 90.00
_space_group_name_H-M_alt 'C m c m'
_space_group_IT_number 63
_space_group_name_Hall '-C 2c 2'
loop_
_atom_site_label
_atom_site_type_symbol
_atom_site_fract_x
_atom_site_fract_y
_atom_site_fract_z
Nd1 Nd 0.000 0.152 0.250
Y1 Y 0.000 0.257 0.750
Er1 Er 0.000 0.349 0.250
Th1 Th 0.247 0.500 0.000
```

***

No. 3
# Nd6YEr2Th

Crystalline Nd6YEr2Th at its relaxed geometry (PBE, Alexandria).

Values from the calculation:
* DFT total energy: -200.84 eV per cell
* volume: 34.1 Å³/atom
* total magnetic moment: 0.00 μB/cell

```
data_Nd6YEr2Th
_chemical_formula_sum 'Nd24 Y4 Er8 Th4'
_cell_length_a 9.355
_cell_length_b 15.109
_cell_length_c 9.737
_cell_angle_alpha 90.00
_cell_angle_beta 97.74
_cell_angle_gamma 90.00
_space_group_name_H-M_alt 'C 1 2/c 1'
_space_group_IT_number 15
_space_group_name_Hall '-C 2yc'
loop_
_atom_site_label
_atom_site_type_symbol
_atom_site_fract_x
_atom_site_fract_y
_atom_site_fract_z
Nd1 Nd 0.065 0.174 0.442
Nd2 Nd 0.095 0.392 0.619
Nd3 Nd 0.208 0.219 0.814
Y1 Y 0.000 0.408 0.250
Er1 Er 0.246 0.045 0.050
Th1 Th 0.000 0.031 0.750
```

***

No. 4
# NdYEr2Th

Crystalline NdYEr2Th at its relaxed geometry (PBE, Alexandria).

Values from the calculation:
* DFT total energy: -26.21 eV per cell
* volume: 34.6 Å³/atom
* total magnetic moment: 0.00 μB/cell

```
data_NdYEr2Th
_chemical_formula_sum 'Nd1 Y1 Er2 Th1'
_cell_length_a 3.545
_cell_length_b 5.633
_cell_length_c 8.662
_cell_angle_alpha 90.00
_cell_angle_beta 90.08
_cell_angle_gamma 90.00
_space_group_name_H-M_alt 'P 1 2/m 1'
_space_group_IT_number 10
_space_group_name_Hall '-P 2y'
loop_
_atom_site_label
_atom_site_type_symbol
_atom_site_fract_x
_atom_site_fract_y
_atom_site_fract_z
Nd1 Nd 0.000 0.000 0.000
Y1 Y 0.500 0.000 0.500
Er1 Er 0.002 0.500 0.321
Th1 Th 0.500 0.500 0.000
```

***

No. 5
# NdYEr5Th2

Crystalline NdYEr5Th2 at its relaxed geometry (PBE, Alexandria).

Values from the calculation:
* DFT total energy: -183.68 eV per cell
* volume: 32.7 Å³/atom
* total magnetic moment: 0.00 μB/cell

```
data_NdYEr5Th2
_chemical_formula_sum 'Nd4 Y4 Er20 Th8'
_cell_length_a 8.743
_cell_length_b 8.743
_cell_length_c 15.391
_cell_angle_alpha 90.00
_cell_angle_beta 90.00
_cell_angle_gamma 90.00
_space_group_name_H-M_alt 'I 4/m c m'
_space_group_IT_number 140
_space_group_name_Hall '-I 4 2c'
loop_
_atom_site_label
_atom_site_type_symbol
_atom_site_fract_x
_atom_site_fract_y
_atom_site_fract_z
Nd1 Nd 0.000 0.500 0.250
Y1 Y 0.000 0.000 0.250
Er1 Er 0.000 0.000 0.000
Er2 Er 0.208 0.292 0.139
Th1 Th 0.119 0.381 0.500
```

***

No. 6
# NdY6Er3Th2

Crystalline NdY6Er3Th2 at its relaxed geometry (PBE, Alexandria).

Values from the calculation:
* DFT total energy: -143.29 eV per cell
* volume: 32.1 Å³/atom
* total magnetic moment: 0.00 μB/cell

```
data_NdY6Er3Th2
_chemical_formula_sum 'Nd2 Y12 Er6 Th4'
_cell_length_a 6.199
_cell_length_b 10.725
_cell_length_c 11.778
_cell_angle_alpha 90.00
_cell_angle_beta 100.12
_cell_angle_gamma 90.00
_space_group_name_H-M_alt 'C 1 2/m 1'
_space_group_IT_number 12
_space_group_name_Hall '-C 2y'
loop_
_atom_site_label
_atom_site_type_symbol
_atom_site_fract_x
_atom_site_fract_y
_atom_site_fract_z
Nd1 Nd 0.000 0.000 0.000
Y1 Y 0.246 0.500 0.250
Y2 Y 0.247 0.331 0.750
Er1 Er 0.000 0.166 0.500
Er2 Er 0.000 0.500 0.500
Th1 Th 0.000 0.333 0.000
```

***

No. 7
# Nd2Y6Er2Th

Crystalline Nd2Y6Er2Th at its relaxed geometry (PBE, Alexandria).

Values from the calculation:
* DFT total energy: -126.59 eV per cell
* volume: 33.3 Å³/atom
* total magnetic moment: 0.00 μB/cell

```
data_Nd2Y6Er2Th
_chemical_formula_sum 'Nd4 Y12 Er4 Th2'
_cell_length_a 5.692
_cell_length_b 12.021
_cell_length_c 10.718
_cell_angle_alpha 90.00
_cell_angle_beta 90.00
_cell_angle_gamma 90.00
_space_group_name_H-M_alt 'C m m m'
_space_group_IT_number 65
_space_group_name_Hall '-C 2 2'
loop_
_atom_site_label
_atom_site_type_symbol
_atom_site_fract_x
_atom_site_fract_y
_atom_site_fract_z
Nd1 Nd 0.000 0.136 0.000
Y1 Y 0.000 0.000 0.290
Y2 Y 0.000 0.347 0.216
Er1 Er 0.000 0.200 0.500
Th1 Th 0.000 0.500 0.500
```

***

No. 8
# Nd3YEr6Th2

Crystalline Nd3YEr6Th2 at its relaxed geometry (PBE, Alexandria).

Values from the calculation:
* DFT total energy: -125.50 eV per cell
* volume: 32.0 Å³/atom
* total magnetic moment: 0.00 μB/cell

```
data_Nd3YEr6Th2
_chemical_formula_sum 'Nd6 Y2 Er12 Th4'
_cell_length_a 6.193
_cell_length_b 10.720
_cell_length_c 11.746
_cell_angle_alpha 90.00
_cell_angle_beta 100.13
_cell_angle_gamma 90.00
_space_group_name_H-M_alt 'C 1 2/m 1'
_space_group_IT_number 12
_space_group_name_Hall '-C 2y'
loop_
_atom_site_label
_atom_site_type_symbol
_atom_site_fract_x
_atom_site_fract_y
_atom_site_fract_z
Nd1 Nd 0.000 0.000 0.000
Nd2 Nd 0.000 0.334 0.000
Y1 Y 0.000 0.500 0.500
Er1 Er 0.244 0.000 0.746
Er2 Er 0.249 0.169 0.255
Th1 Th 0.000 0.167 0.500
```

***

No. 9
# NdErThZr

Crystalline NdErThZr at its relaxed geometry (PBE, Alexandria).

Values from the calculation:
* DFT total energy: -98.57 eV per cell
* volume: 29.5 Å³/atom
* total magnetic moment: 0.00 μB/cell

```
data_NdErThZr
_chemical_formula_sum 'Nd4 Er4 Th4 Zr4'
_cell_length_a 7.788
_cell_length_b 7.788
_cell_length_c 7.788
_cell_angle_alpha 90.00
_cell_angle_beta 90.00
_cell_angle_gamma 90.00
_space_group_name_H-M_alt 'F -4 3 m'
_space_group_IT_number 216
_space_group_name_Hall 'F -4 2 3'
loop_
_atom_site_label
_atom_site_type_symbol
_atom_site_fract_x
_atom_site_fract_y
_atom_site_fract_z
Nd1 Nd 0.000 0.000 0.000
Er1 Er 0.250 0.250 0.250
Th1 Th 0.000 0.000 0.500
Zr1 Zr 0.250 0.250 0.750
```

***

No. 10
# Nd2ErTi

Crystalline Nd2ErTi at its relaxed geometry (PBE, Alexandria).

Values from the calculation:
* DFT total energy: -60.57 eV per cell
* volume: 29.7 Å³/atom
* total magnetic moment: 4.14 μB/cell

```
data_Nd2ErTi
_chemical_formula_sum 'Nd6 Er3 Ti3'
_cell_length_a 3.3948
_cell_length_b 3.3948
_cell_length_c 35.6661
_cell_angle_alpha 90.00
_cell_angle_beta 90.00
_cell_angle_gamma 120.00
_space_group_name_H-M_alt 'R -3 m'
_space_group_IT_number 166
_space_group_name_Hall '-R 3 2"'
loop_
_atom_site_label
_atom_site_type_symbol
_atom_site_fract_x
_atom_site_fract_y
_atom_site_fract_z
Nd1 Nd 0.0000 0.0000 0.0831
Er1 Er 0.0000 0.0000 0.5000
Ti1 Ti 0.0000 0.0000 0.0000
```

***

No. 11
# Nd8Er6Tl

Crystalline Nd8Er6Tl at its relaxed geometry (PBE, Alexandria).

Values from the calculation:
* DFT total energy: -66.53 eV per cell
* volume: 33.1 Å³/atom
* total magnetic moment: 0.00 μB/cell

```
data_Nd8Er6Tl
_chemical_formula_sum 'Nd8 Er6 Tl1'
_cell_length_a 9.3820
_cell_length_b 9.3820
_cell_length_c 6.5168
_cell_angle_alpha 90.00
_cell_angle_beta 90.00
_cell_angle_gamma 120.00
_space_group_name_H-M_alt 'P -3'
_space_group_IT_number 147
_space_group_name_Hall '-P 3'
loop_
_atom_site_label
_atom_site_type_symbol
_atom_site_fract_x
_atom_site_fract_y
_atom_site_fract_z
Nd1 Nd 0.0428 0.7688 0.1799
Nd2 Nd 0.3333 0.6667 0.1532
Er1 Er 0.0993 0.6485 0.6667
Tl1 Tl 0.0000 0.0000 0.5000
```

***

No. 12
# Nd4ErTl

Crystalline Nd4ErTl at its relaxed geometry (PBE, Alexandria).

Values from the calculation:
* volume: 32.9 Å³/atom
* total magnetic moment: 0.00 μB/cell
* energy above the most stable polymorph in this dataset: 0 kJ/mol of formula units

```
data_Nd4ErTl
_chemical_formula_sum 'Nd4 Er1 Tl1'
_cell_length_a 3.683
_cell_length_b 3.683
_cell_length_c 14.539
_cell_angle_alpha 90.00
_cell_angle_beta 90.00
_cell_angle_gamma 90.00
_space_group_name_H-M_alt 'P 4/m m m'
_space_group_IT_number 123
_space_group_name_Hall '-P 4 2'
loop_
_atom_site_label
_atom_site_type_symbol
_atom_site_fract_x
_atom_site_fract_y
_atom_site_fract_z
Nd1 Nd 0.000 0.000 0.149
Nd2 Nd 0.500 0.500 0.328
Er1 Er 0.000 0.000 0.500
Tl1 Tl 0.500 0.500 0.000
```

***

No. 13
# NdErTl2

Crystalline NdErTl2 at its relaxed geometry (PBE, Alexandria).

Values from the calculation:
* volume: 28.1 Å³/atom
* total magnetic moment: 0.00 μB/cell
* energy above the most stable polymorph in this dataset: 0 kJ/mol of formula units

```
data_NdErTl2
_chemical_formula_sum 'Nd1 Er1 Tl2'
_cell_length_a 3.829
_cell_length_b 3.829
_cell_length_c 7.673
_cell_angle_alpha 90.00
_cell_angle_beta 90.00
_cell_angle_gamma 90.00
_space_group_name_H-M_alt 'P 4/m m m'
_space_group_IT_number 123
_space_group_name_Hall '-P 4 2'
loop_
_atom_site_label
_atom_site_type_symbol
_atom_site_fract_x
_atom_site_fract_y
_atom_site_fract_z
Nd1 Nd 0.000 0.000 0.000
Er1 Er 0.000 0.000 0.500
Tl1 Tl 0.500 0.500 0.264
```

***

No. 14
# NdEr2Tl2

Crystalline NdEr2Tl2 at its relaxed geometry (PBE, Alexandria).

Values from the calculation:
* volume: 28.9 Å³/atom
* total magnetic moment: 0.00 μB/cell
* energy above the most stable polymorph in this dataset: 4 kJ/mol of formula units

```
data_NdEr2Tl2
_chemical_formula_sum 'Nd2 Er4 Tl4'
_cell_length_a 3.783
_cell_length_b 5.456
_cell_length_c 14.153
_cell_angle_alpha 90.00
_cell_angle_beta 97.70
_cell_angle_gamma 90.00
_space_group_name_H-M_alt 'P 1 21/m 1'
_space_group_IT_number 11
_space_group_name_Hall '-P 2yb'
loop_
_atom_site_label
_atom_site_type_symbol
_atom_site_fract_x
_atom_site_fract_y
_atom_site_fract_z
Nd1 Nd 0.147 0.250 0.297
Er1 Er 0.050 0.750 0.100
Er2 Er 0.237 0.750 0.474
Tl1 Tl 0.356 0.250 0.711
Tl2 Tl 0.453 0.750 0.908
```

***

No. 15
# Nd3Er3Tl2

Crystalline Nd3Er3Tl2 at its relaxed geometry (PBE, Alexandria).

Values from the calculation:
* volume: 29.5 Å³/atom
* total magnetic moment: 0.00 μB/cell
* energy above the most stable polymorph in this dataset: 0 kJ/mol of formula units

```
data_Nd3Er3Tl2
_chemical_formula_sum 'Nd3 Er3 Tl2'
_cell_length_a 4.861
_cell_length_b 4.884
_cell_length_c 9.952
_cell_angle_alpha 90.00
_cell_angle_beta 90.00
_cell_angle_gamma 90.00
_space_group_name_H-M_alt 'P m m m'
_space_group_IT_number 47
_space_group_name_Hall '-P 2 2'
loop_
_atom_site_label
_atom_site_type_symbol
_atom_site_fract_x
_atom_site_fract_y
_atom_site_fract_z
Nd1 Nd 0.000 0.000 0.000
Nd2 Nd 0.000 0.000 0.500
Nd3 Nd 0.500 0.500 0.000
Er1 Er 0.500 0.000 0.253
Er2 Er 0.500 0.500 0.500
Tl1 Tl 0.000 0.500 0.254
```

***

No. 16
# Nd2Er3Tl

Crystalline Nd2Er3Tl at its relaxed geometry (PBE, Alexandria).

Values from the calculation:
* volume: 32.6 Å³/atom
* total magnetic moment: 0.00 μB/cell
* energy above the most stable polymorph in this dataset: 118 kJ/mol of formula units

```
data_Nd2Er3Tl
_chemical_formula_sum 'Nd4 Er6 Tl2'
_cell_length_a 3.457
_cell_length_b 17.555
_cell_length_c 6.451
_cell_angle_alpha 90.00
_cell_angle_beta 90.00
_cell_angle_gamma 90.00
_space_group_name_H-M_alt 'I m m 2'
_space_group_IT_number 44
_space_group_name_Hall 'I 2 -2'
loop_
_atom_site_label
_atom_site_type_symbol
_atom_site_fract_x
_atom_site_fract_y
_atom_site_fract_z
Nd1 Nd 0.000 0.190 0.000
Er1 Er 0.000 0.134 0.493
Er2 Er 0.000 0.500 0.697
Tl1 Tl 0.000 0.000 0.782
```

***

No. 17
# Nd3Er4Tl

Crystalline Nd3Er4Tl at its relaxed geometry (PBE, Alexandria).

Values from the calculation:
* volume: 31.1 Å³/atom
* total magnetic moment: 0.00 μB/cell
* energy above the most stable polymorph in this dataset: 73 kJ/mol of formula units

```
data_Nd3Er4Tl
_chemical_formula_sum 'Nd3 Er4 Tl1'
_cell_length_a 4.128
_cell_length_b 4.128
_cell_length_c 14.622
_cell_angle_alpha 90.00
_cell_angle_beta 90.00
_cell_angle_gamma 90.00
_space_group_name_H-M_alt 'P 4/m m m'
_space_group_IT_number 123
_space_group_name_Hall '-P 4 2'
loop_
_atom_site_label
_atom_site_type_symbol
_atom_site_fract_x
_atom_site_fract_y
_atom_site_fract_z
Nd1 Nd 0.000 0.000 0.000
Nd2 Nd 0.000 0.000 0.254
Er1 Er 0.500 0.500 0.132
Er2 Er 0.500 0.500 0.390
Tl1 Tl 0.000 0.000 0.500
```

***

No. 18
# Nd2Er5Tl

Crystalline Nd2Er5Tl at its relaxed geometry (PBE, Alexandria).

Values from the calculation:
* volume: 30.6 Å³/atom
* total magnetic moment: 0.00 μB/cell
* energy above the most stable polymorph in this dataset: 0 kJ/mol of formula units

```
data_Nd2Er5Tl
_chemical_formula_sum 'Nd4 Er10 Tl2'
_cell_length_a 11.230
_cell_length_b 7.100
_cell_length_c 8.292
_cell_angle_alpha 90.00
_cell_angle_beta 132.13
_cell_angle_gamma 90.00
_space_group_name_H-M_alt 'C 1 m 1'
_space_group_IT_number 8
_space_group_name_Hall 'C -2y'
loop_
_atom_site_label
_atom_site_type_symbol
_atom_site_fract_x
_atom_site_fract_y
_atom_site_fract_z
Nd1 Nd 0.000 0.000 0.000
Nd2 Nd 0.112 0.000 0.687
Er1 Er 0.076 0.500 0.686
Er2 Er 0.256 0.262 0.514
Er3 Er 0.340 0.249 0.179
Tl1 Tl 0.021 0.500 0.037
```

***

No. 19
# Nd7Er2Tl2

Crystalline Nd7Er2Tl2 at its relaxed geometry (PBE, Alexandria).

Values from the calculation:
* DFT total energy: -95.07 eV per cell
* volume: 34.2 Å³/atom
* total magnetic moment: 0.00 μB/cell

```
data_Nd7Er2Tl2
_chemical_formula_sum 'Nd14 Er4 Tl4'
_cell_length_a 3.693
_cell_length_b 20.567
_cell_length_c 9.896
_cell_angle_alpha 90.00
_cell_angle_beta 90.00
_cell_angle_gamma 90.00
_space_group_name_H-M_alt 'I m m 2'
_space_group_IT_number 44
_space_group_name_Hall 'I 2 -2'
loop_
_atom_site_label
_atom_site_type_symbol
_atom_site_fract_x
_atom_site_fract_y
_atom_site_fract_z
Nd1 Nd 0.000 0.000 0.000
Nd2 Nd 0.000 0.129 0.458
Nd3 Nd 0.000 0.339 0.655
Nd4 Nd 0.000 0.368 0.283
Er1 Er 0.000 0.000 0.648
Er2 Er 0.000 0.500 0.824
Tl1 Tl 0.000 0.244 0.939
```

***

No. 20
# Nd6ErTl3

Crystalline Nd6ErTl3 at its relaxed geometry (PBE, Alexandria).

Values from the calculation:
* volume: 31.6 Å³/atom
* total magnetic moment: 0.00 μB/cell
* energy above the most stable polymorph in this dataset: 0 kJ/mol of formula units

```
data_Nd6ErTl3
_chemical_formula_sum 'Nd12 Er2 Tl6'
_cell_length_a 10.603
_cell_length_b 5.230
_cell_length_c 11.478
_cell_angle_alpha 90.00
_cell_angle_beta 96.47
_cell_angle_gamma 90.00
_space_group_name_H-M_alt 'P 1 21/m 1'
_space_group_IT_number 11
_space_group_name_Hall '-P 2yb'
loop_
_atom_site_label
_atom_site_type_symbol
_atom_site_fract_x
_atom_site_fract_y
_atom_site_fract_z
Nd1 Nd 0.046 0.250 0.404
Nd2 Nd 0.136 0.750 0.190
Nd3 Nd 0.230 0.250 0.984
Nd4 Nd 0.326 0.750 0.782
Nd5 Nd 0.358 0.250 0.278
Nd6 Nd 0.435 0.250 0.591
Er1 Er 0.452 0.750 0.092
Tl1 Tl 0.048 0.750 0.890
Tl2 Tl 0.144 0.250 0.690
Tl3 Tl 0.254 0.750 0.473
```